Compound: Al3HgRh
Source: the Alexandria database
Functional: PBE
Structure: relaxed

Lattice parameters (Å, degrees): 4.7681 4.7681 4.7681 90.00 90.00 90.00
Positions (direct):
Rh: 0.0000 0.0000 0.0000
Al: 0.0000 0.0000 0.5000
Hg: 0.5000 0.5000 0.5000
Al: 0.0000 0.5000 0.0000
Al: 0.5000 0.0000 0.0000

Output
As for the density of states at the Fermi level: 1.21 states/eV per cell. The calculation puts the density at 5.89 g/cm3. The value obtained for the spin magnetization is 0.0 μB/f.u. The formation energy is -21 kJ/mol of atoms.